# 1
LiAgBPt2 (PBE, relaxed); energy relative to the lowest polymorph listed for this composition = 0.0098 eV per atom; N(E_F) = 0.736 states/eV/f.u.; ΔH_f (0 K) = -0.271 eV per atom; space group = P4/mmm; spin magnetization = 0.000 μB/cell
1.0
4.115 0.000 0.000
0.000 4.115 0.000
0.000 0.000 4.511
Li Ag B Pt
1 1 1 2
Direct
0.000 0.000 0.000
0.500 0.500 0.000
0.500 0.500 0.500
0.000 0.500 0.500
0.500 0.000 0.500


# 2
LiAgBPt2 (PBE, relaxed); energy relative to the lowest polymorph listed for this composition = 0.0000 eV per atom; N(E_F) = 0.375 states/eV/f.u.; ΔH_f (0 K) = -0.281 eV per atom; space group = P4/mmm; spin magnetization = 0.000 μB/cell
1.0
4.085 0.000 0.000
0.000 4.085 0.000
0.000 0.000 4.424
Li Ag B Pt
1 1 1 2
Direct
0.000 0.000 0.000
0.500 0.500 0.000
0.000 0.000 0.500
0.000 0.500 0.500
0.500 0.000 0.500


# 3
LiAgBRh2 (PBE, relaxed); energy relative to the lowest polymorph listed for this composition = 0.0000 eV per atom; N(E_F) = 4.495 states/eV/f.u.; ΔH_f (0 K) = -0.050 eV per atom; space group = P4/mmm; spin magnetization = 0.500 μB/cell
1.0
4.052 0.000 0.000
0.000 4.052 0.000
0.000 0.000 4.255
Li Ag B Rh
1 1 1 2
Direct
0.000 0.000 0.000
0.500 0.500 0.000
0.000 0.000 0.500
0.000 0.500 0.500
0.500 0.000 0.500


# 4
LiAgBRh2 (PBE, relaxed); energy relative to the lowest polymorph listed for this composition = 0.0128 eV per atom; N(E_F) = 6.147 states/eV/f.u.; ΔH_f (0 K) = -0.037 eV per atom; space group = P4/mmm; spin magnetization = 0.001 μB/cell
1.0
4.085 0.000 0.000
0.000 4.085 0.000
0.000 0.000 4.343
Li Ag B Rh
1 1 1 2
Direct
0.000 0.000 0.000
0.500 0.500 0.000
0.500 0.500 0.500
0.000 0.500 0.500
0.500 0.000 0.500